Entry from the Alexandria database: an optimized crystal structure of Na5Cd3F12 (PBE-GGA).

- mass density (g/cm³) = 3.87
- formation energy from raw total energies (eV per atom) = -2.256
- crystal system = cubic

Unit cell a=11.4869 b=11.4869 c=11.4869 alpha=109.47 beta=109.47 gamma=109.47
Closest atoms and distances in Å follow each position.
Sites, in units of the cell vectors:
Na 0.0000 0.0000 0.0000  6 F 2.30
Na 0.0000 0.0000 0.5000  6 F 2.30
Na 0.0000 0.5000 0.0000  6 F 2.30
Na 0.0000 0.5000 0.5000  6 F 2.30
Na 0.1250 0.7500 0.8750  4 F 2.14
Na 0.1250 0.8750 0.2500  4 F 2.14
Na 0.2500 0.1250 0.8750  4 F 2.14
Na 0.2500 0.6250 0.3750  4 F 2.14
Na 0.3750 0.2500 0.6250  4 F 2.14
Na 0.3750 0.6250 0.7500  4 F 2.14
Na 0.5000 0.0000 0.0000  6 F 2.30
Na 0.5000 0.0000 0.5000  6 F 2.30
Na 0.5000 0.5000 0.0000  6 F 2.30
Na 0.5000 0.5000 0.5000  6 F 2.30
Na 0.6250 0.3750 0.2500  4 F 2.14
Na 0.6250 0.7500 0.3750  4 F 2.14
Na 0.7500 0.3750 0.6250  4 F 2.14
Na 0.7500 0.8750 0.1250  4 F 2.14
Na 0.8750 0.1250 0.7500  4 F 2.14
Na 0.8750 0.2500 0.1250  4 F 2.14
Cd 0.1250 0.2500 0.3750  8 F 2.34-2.55
Cd 0.1250 0.3750 0.7500  8 F 2.34-2.55
Cd 0.2500 0.3750 0.1250  8 F 2.34-2.55
Cd 0.2500 0.8750 0.6250  8 F 2.34-2.55
Cd 0.3750 0.1250 0.2500  8 F 2.34-2.55
Cd 0.3750 0.7500 0.1250  8 F 2.34-2.55
Cd 0.6250 0.2500 0.8750  8 F 2.34-2.55
Cd 0.6250 0.8750 0.7500  8 F 2.34-2.55
Cd 0.7500 0.1250 0.3750  8 F 2.34-2.55
Cd 0.7500 0.6250 0.8750  8 F 2.34-2.55
Cd 0.8750 0.6250 0.2500  8 F 2.34-2.55
Cd 0.8750 0.7500 0.6250  8 F 2.34-2.55
F 0.0559 0.2308 0.1317  2 Na 2.14-2.30, 1 Cd 2.34
F 0.0559 0.3251 0.9242  2 Na 2.14-2.30, 1 Cd 2.34
F 0.0758 0.6317 0.4008  2 Na 2.14-2.30, 1 Cd 2.34
F 0.0758 0.9441 0.6749  2 Na 2.14-2.30, 1 Cd 2.34
F 0.0992 0.7308 0.6749  2 Na 2.14-2.30, 1 Cd 2.34
F 0.0992 0.8683 0.4242  2 Na 2.14-2.30, 1 Cd 2.34
F 0.1317 0.0559 0.2308  2 Na 2.14-2.30, 1 Cd 2.34
F 0.1317 0.5758 0.9008  2 Na 2.14-2.30, 1 Cd 2.34
F 0.1749 0.2308 0.5992  2 Na 2.14-2.30, 1 Cd 2.34
F 0.1749 0.4441 0.5758  2 Na 2.14-2.30, 1 Cd 2.34
F 0.2308 0.1317 0.0559  2 Na 2.14-2.30, 1 Cd 2.34
F 0.2308 0.5992 0.1749  2 Na 2.14-2.30, 1 Cd 2.34
F 0.2692 0.3251 0.9008  2 Na 2.14-2.30, 1 Cd 2.34
F 0.2692 0.4441 0.3683  2 Na 2.14-2.30, 1 Cd 2.34
F 0.3251 0.9008 0.2692  2 Na 2.14-2.30, 1 Cd 2.34
F 0.3251 0.9242 0.0559  2 Na 2.14-2.30, 1 Cd 2.34
F 0.3683 0.2692 0.4441  2 Na 2.14-2.30, 1 Cd 2.34
F 0.3683 0.5992 0.9242  2 Na 2.14-2.30, 1 Cd 2.34
F 0.4008 0.0758 0.6317  2 Na 2.14-2.30, 1 Cd 2.34
F 0.4008 0.8251 0.7692  2 Na 2.14-2.30, 1 Cd 2.34
F 0.4242 0.0992 0.8683  2 Na 2.14-2.30, 1 Cd 2.34
F 0.4242 0.8251 0.5559  2 Na 2.14-2.30, 1 Cd 2.34
F 0.4441 0.3683 0.2692  2 Na 2.14-2.30, 1 Cd 2.34
F 0.4441 0.5758 0.1749  2 Na 2.14-2.30, 1 Cd 2.34
F 0.5559 0.4242 0.8251  2 Na 2.14-2.30, 1 Cd 2.34
F 0.5559 0.6317 0.7308  2 Na 2.14-2.30, 1 Cd 2.34
F 0.5758 0.1749 0.4441  2 Na 2.14-2.30, 1 Cd 2.34
F 0.5758 0.9008 0.1317  2 Na 2.14-2.30, 1 Cd 2.34
F 0.5992 0.1749 0.2308  2 Na 2.14-2.30, 1 Cd 2.34
F 0.5992 0.9242 0.3683  2 Na 2.14-2.30, 1 Cd 2.34
F 0.6317 0.4008 0.0758  2 Na 2.14-2.30, 1 Cd 2.34
F 0.6317 0.7308 0.5559  2 Na 2.14-2.30, 1 Cd 2.34
F 0.6749 0.0758 0.9441  2 Na 2.14-2.30, 1 Cd 2.34
F 0.6749 0.0992 0.7308  2 Na 2.14-2.30, 1 Cd 2.34
F 0.7308 0.5559 0.6317  2 Na 2.14-2.30, 1 Cd 2.34
F 0.7308 0.6749 0.0992  2 Na 2.14-2.30, 1 Cd 2.34
F 0.7692 0.4008 0.8251  2 Na 2.14-2.30, 1 Cd 2.34
F 0.7692 0.8683 0.9441  2 Na 2.14-2.30, 1 Cd 2.34
F 0.8251 0.5559 0.4242  2 Na 2.14-2.30, 1 Cd 2.34
F 0.8251 0.7692 0.4008  2 Na 2.14-2.30, 1 Cd 2.34
F 0.8683 0.4242 0.0992  2 Na 2.14-2.30, 1 Cd 2.34
F 0.8683 0.9441 0.7692  2 Na 2.14-2.30, 1 Cd 2.34
F 0.9008 0.1317 0.5758  2 Na 2.14-2.30, 1 Cd 2.34
F 0.9008 0.2692 0.3251  2 Na 2.14-2.30, 1 Cd 2.34
F 0.9242 0.0559 0.3251  2 Na 2.14-2.30, 1 Cd 2.34
F 0.9242 0.3683 0.5992  2 Na 2.14-2.30, 1 Cd 2.34
F 0.9441 0.6749 0.0758  2 Na 2.14-2.30, 1 Cd 2.34
F 0.9441 0.7692 0.8683  2 Na 2.14-2.30, 1 Cd 2.34

=====

Entry from the Alexandria database: an optimized crystal structure of NaCd2F (PBE-GGA).

- mass density (g/cm³) = 4.84
- formation energy from raw total energies (eV per atom) = -0.555
- crystal system = cubic

Unit cell a=5.0581 b=5.0581 c=5.0581 alpha=60.00 beta=60.00 gamma=60.00
Closest atoms and distances in Å follow each position.
Sites, in units of the cell vectors:
Na 0.0000 0.0000 0.0000  8 Cd 3.10
Cd 0.2500 0.2500 0.2500  4 F 3.10, 4 Na 3.10
Cd 0.7500 0.7500 0.7500  4 F 3.10, 4 Na 3.10
F 0.5000 0.5000 0.5000  8 Cd 3.10

=====

Entry from the Alexandria database: an optimized crystal structure of NaCd2F4 (PBE-GGA).

- mass density (g/cm³) = 4.98
- formation energy from raw total energies (eV per atom) = -2.076
- crystal system = orthorhombic

Unit cell a=5.9945 b=5.9945 c=11.2462 alpha=90.00 beta=90.00 gamma=147.66
Closest atoms and distances in Å follow each position.
Sites, in units of the cell vectors:
Na 0.1134 0.8866 0.7500  6 F 2.34-2.55
Na 0.8866 0.1134 0.2500  6 F 2.34-2.55
Cd 0.3668 0.6332 0.5750  6 F 2.31-2.42
Cd 0.3668 0.6332 0.9250  6 F 2.31-2.42
Cd 0.6332 0.3668 0.0750  6 F 2.31-2.42
Cd 0.6332 0.3668 0.4250  6 F 2.31-2.42
F 0.0000 0.0000 0.0000  4 Cd 2.42
F 0.0000 0.0000 0.5000  4 Cd 2.42
F 0.2779 0.7221 0.1192  3 Cd 2.41, 2 Na 2.55
F 0.2779 0.7221 0.3808  3 Cd 2.41, 2 Na 2.55
F 0.4711 0.5289 0.7500  2 Cd 2.31, 2 Na 2.34
F 0.5289 0.4711 0.2500  2 Cd 2.31, 2 Na 2.34
F 0.7221 0.2779 0.6192  3 Cd 2.41, 2 Na 2.55
F 0.7221 0.2779 0.8808  3 Cd 2.41, 2 Na 2.55

=====

Entry from the Alexandria database: an optimized crystal structure of NaCd2F6 (PBE-GGA).

- mass density (g/cm³) = 4.85
- formation energy from raw total energies (eV per atom) = -2.043
- crystal system = trigonal

Unit cell a=3.9228 b=3.9228 c=9.3031 alpha=90.00 beta=90.00 gamma=120.00
Closest atoms and distances in Å follow each position.
Sites, in units of the cell vectors:
Na 0.0000 0.0000 0.0000  8 F 2.42-2.45
Cd 0.3333 0.6667 0.6690  8 F 2.23-2.42
Cd 0.6667 0.3333 0.3310  8 F 2.23-2.42
F 0.0000 0.0000 0.2635  3 Cd 2.35, 1 Na 2.45
F 0.0000 0.0000 0.7365  3 Cd 2.35, 1 Na 2.45
F 0.3333 0.6667 0.4213  4 Cd 2.30-2.42
F 0.3333 0.6667 0.9083  1 Cd 2.23, 3 Na 2.42
F 0.6667 0.3333 0.0917  1 Cd 2.23, 3 Na 2.42
F 0.6667 0.3333 0.5787  4 Cd 2.30-2.42

=====

Entry from the Alexandria database: an optimized crystal structure of Na2Cd5F12 (PBE-GGA).

- mass density (g/cm³) = 5.06
- formation energy from raw total energies (eV per atom) = -2.275
- crystal system = monoclinic

Unit cell a=7.0233 b=7.0233 c=7.5549 alpha=105.40 beta=105.40 gamma=50.38
Closest atoms and distances in Å follow each position.
Sites, in units of the cell vectors:
Na 0.2318 0.7682 0.0000  6 F 2.20-2.28
Na 0.7682 0.2318 0.0000  6 F 2.20-2.28
Cd 0.0000 0.0000 0.5000  2 F 2.09
Cd 0.3117 0.3117 0.6495  7 F 2.30-2.43
Cd 0.3145 0.3145 0.1626  7 F 2.23-2.47
Cd 0.6855 0.6855 0.8374  7 F 2.23-2.47
Cd 0.6883 0.6883 0.3505  7 F 2.30-2.43
F 0.0188 0.0188 0.7846  1 Cd 2.09, 2 Na 2.20
F 0.0868 0.5494 0.8952  1 Na 2.22, 3 Cd 2.28-2.46
F 0.0984 0.5890 0.4352  4 Cd 2.31-2.47
F 0.4110 0.9016 0.5648  4 Cd 2.31-2.47
F 0.4506 0.9132 0.1048  1 Na 2.22, 3 Cd 2.28-2.46
F 0.4964 0.4964 0.2135  2 Cd 2.23-2.35, 2 Na 2.28
F 0.5036 0.5036 0.7865  2 Cd 2.23-2.35, 2 Na 2.28
F 0.5494 0.0868 0.8952  1 Na 2.22, 3 Cd 2.28-2.46
F 0.5890 0.0984 0.4352  4 Cd 2.31-2.47
F 0.9016 0.4110 0.5648  4 Cd 2.31-2.47
F 0.9132 0.4506 0.1048  1 Na 2.22, 3 Cd 2.28-2.46
F 0.9812 0.9812 0.2154  1 Cd 2.09, 2 Na 2.20

=====

Entry from the Alexandria database: an optimized crystal structure of NaCdF4 (PBE-GGA).

- mass density (g/cm³) = 3.73
- formation energy from raw total energies (eV per atom) = -1.987
- crystal system = monoclinic

Unit cell a=6.1284 b=5.1590 c=6.3286 alpha=90.00 beta=109.95 gamma=90.00
Closest atoms and distances in Å follow each position.
Sites, in units of the cell vectors:
Na 0.0000 0.0000 0.0000  6 F 2.33-2.36
Na 0.0000 0.5000 0.5000  6 F 2.33-2.36
Cd 0.5000 0.0000 0.5000  6 F 2.09-2.31
Cd 0.5000 0.5000 0.0000  6 F 2.09-2.31
F 0.1736 0.1727 0.3595  1 Cd 2.09, 2 Na 2.33
F 0.1736 0.3273 0.8595  1 Cd 2.09, 2 Na 2.33
F 0.3579 0.7166 0.6605  2 Cd 2.13-2.31, 1 Na 2.36
F 0.3579 0.7834 0.1605  2 Cd 2.13-2.31, 1 Na 2.36
F 0.6421 0.2166 0.8395  2 Cd 2.13-2.31, 1 Na 2.36
F 0.6421 0.2834 0.3395  2 Cd 2.13-2.31, 1 Na 2.36
F 0.8264 0.6727 0.1405  1 Cd 2.09, 2 Na 2.33
F 0.8264 0.8273 0.6405  1 Cd 2.09, 2 Na 2.33

=====

Entry from the Alexandria database: an optimized crystal structure of NaCd3F7 (PBE-GGA).

- mass density (g/cm³) = 5.08
- formation energy from raw total energies (eV per atom) = -2.277
- crystal system = orthorhombic

Unit cell a=6.7000 b=6.7000 c=7.5291 alpha=90.00 beta=90.00 gamma=107.58
Closest atoms and distances in Å follow each position.
Sites, in units of the cell vectors:
Na 0.0000 0.0000 0.0000  6 F 2.24-2.36
Na 0.0000 0.0000 0.5000  6 F 2.24-2.36
Cd 0.0066 0.5350 0.7500  7 F 2.26-2.40
Cd 0.4650 0.9934 0.7500  7 F 2.26-2.40
Cd 0.5000 0.5000 0.0000  8 F 2.28-2.46
Cd 0.5000 0.5000 0.5000  8 F 2.28-2.46
Cd 0.5350 0.0066 0.2500  7 F 2.26-2.40
Cd 0.9934 0.4650 0.2500  7 F 2.26-2.40
F 0.1120 0.8880 0.7500  2 Na 2.24, 2 Cd 2.26
F 0.1174 0.3681 0.5213  3 Cd 2.29-2.45, 1 Na 2.36
F 0.1174 0.3681 0.9787  3 Cd 2.29-2.45, 1 Na 2.36
F 0.3539 0.6461 0.2500  4 Cd 2.35-2.46
F 0.3681 0.1174 0.0213  3 Cd 2.29-2.45, 1 Na 2.36
F 0.3681 0.1174 0.4787  3 Cd 2.29-2.45, 1 Na 2.36
F 0.3808 0.6192 0.7500  4 Cd 2.28-2.40
F 0.6192 0.3808 0.2500  4 Cd 2.28-2.40
F 0.6319 0.8826 0.5213  3 Cd 2.29-2.45, 1 Na 2.36
F 0.6319 0.8826 0.9787  3 Cd 2.29-2.45, 1 Na 2.36
F 0.6461 0.3539 0.7500  4 Cd 2.35-2.46
F 0.8826 0.6319 0.0213  3 Cd 2.29-2.45, 1 Na 2.36
F 0.8826 0.6319 0.4787  3 Cd 2.29-2.45, 1 Na 2.36
F 0.8880 0.1120 0.2500  2 Na 2.24, 2 Cd 2.26

=====

Entry from the Alexandria database: an optimized crystal structure of Na5CdF6 (PBE-GGA).

- mass density (g/cm³) = 3.37
- formation energy from raw total energies (eV per atom) = -2.431
- crystal system = monoclinic

Unit cell a=5.9065 b=5.9065 c=5.9043 alpha=99.65 beta=99.65 gamma=119.96
Closest atoms and distances in Å follow each position.
Sites, in units of the cell vectors:
Na 0.0000 0.0000 0.0000  6 F 2.30-2.43
Na 0.1670 0.8330 0.5000  6 F 2.39-2.42
Na 0.3344 0.6656 0.0000  6 F 2.32-2.44
Na 0.6656 0.3344 0.0000  6 F 2.32-2.44
Na 0.8330 0.1670 0.5000  6 F 2.39-2.42
Cd 0.5000 0.5000 0.5000  6 F 2.51-2.52
F 0.0650 0.4140 0.2437  5 Na 2.32-2.44, 1 Cd 2.51
F 0.2390 0.2390 0.7615  5 Na 2.30-2.42, 1 Cd 2.52
F 0.4140 0.0650 0.2437  5 Na 2.32-2.44, 1 Cd 2.51
F 0.5860 0.9350 0.7563  5 Na 2.32-2.44, 1 Cd 2.51
F 0.7610 0.7610 0.2385  5 Na 2.30-2.42, 1 Cd 2.52
F 0.9350 0.5860 0.7563  5 Na 2.32-2.44, 1 Cd 2.51